The following is a DFT calculation (GGA+U) of a relaxed structure of MnGeF5.

Cell lengths 5.6094, 5.6093, 7.7598 Å; angles 110.62, 110.62, 74.26 degrees
Closest atoms and distances in Å follow each position.
Atoms (fractional coordinates):
F  0.8020  0.6816  0.0702  1 Ge 1.88
F  0.2571  0.7245  0.3632  1 Ge 1.94, 1 Mn 2.08
F  0.8184  0.6981  0.4298  1 Ge 1.88
F  0.3982  0.1018  0.2500  2 Mn 2.06
F  0.7429  0.2755  0.6368  1 Ge 1.94, 1 Mn 2.08
F  0.1980  0.3184  0.9298  1 Ge 1.88
F  0.6018  0.8982  0.7500  2 Mn 2.06
F  0.2246  0.7570  0.8632  1 Ge 1.94, 1 Mn 2.08
F  0.1816  0.3019  0.5702  1 Ge 1.88
F  0.7754  0.2430  0.1368  1 Ge 1.94, 1 Mn 2.08
Ge  0.9984  0.5016  0.7500  4 F 1.88-1.94
Ge  0.0016  0.4984  0.2500  4 F 1.88-1.94
Mn  0.5000  0.0000  0.0000  6 F 2.06-2.18
Mn  0.5000  0.0000  0.5000  6 F 2.06-2.18

Calculated values
- calculated total energy (eV/atom) = -5.383
- DOS at the Fermi energy (states/eV per cell) = 3.17
- size of the total moment (μB per cell) = 8.19

***

The following is a DFT calculation (GGA+U) of a relaxed structure of Mn2GeF8.

Cell lengths 4.3935, 5.8487, 5.8487 Å; angles 72.29, 90.77, 90.77 degrees
Closest atoms and distances in Å follow each position.
Atoms (fractional coordinates):
F  0.2595  0.8500  0.8500  1 Ge 1.83
F  0.2176  0.2822  0.9052  1 Ge 1.83
F  0.7448  0.5991  0.5991  3 Mn 2.14-2.24
F  0.7824  0.7178  0.0948  1 Ge 1.83
F  0.2176  0.9052  0.2822  1 Ge 1.83
F  0.7824  0.0948  0.7178  1 Ge 1.83
F  0.2552  0.4009  0.4009  3 Mn 2.14-2.24
F  0.7405  0.1500  0.1500  1 Ge 1.83
Ge  0.0000  0.0000  0.0000  6 F 1.83
Mn  0.2510  0.6277  0.6277  6 F 2.10-2.24
Mn  0.7490  0.3723  0.3723  6 F 2.10-2.24

Calculated values
- calculated total energy (eV/atom) = -5.679
- DOS at the Fermi energy (states/eV per cell) = 0.00
- size of the total moment (μB per cell) = 10.00

***

The following is a DFT calculation (GGA+U) of a relaxed structure of MnGeF5.

Cell lengths 5.5030, 5.5030, 7.8066 Å; angles 69.30, 69.30, 72.08 degrees
Closest atoms and distances in Å follow each position.
Atoms (fractional coordinates):
F  0.7193  0.7918  0.6296  1 Ge 1.97, 1 Mn 2.05
F  0.2082  0.2807  0.8704  1 Ge 1.97, 1 Mn 2.05
F  0.7918  0.7193  0.1296  1 Ge 1.97, 1 Mn 2.05
F  0.9114  0.0887  0.2500  2 Ge 2.03
F  0.7153  0.3236  0.5357  1 Ge 2.01, 1 Mn 2.17
F  0.2807  0.2082  0.3704  1 Ge 1.97, 1 Mn 2.05
F  0.0887  0.9114  0.7500  2 Ge 2.03
F  0.2847  0.6764  0.4643  1 Ge 2.01, 1 Mn 2.17
F  0.3236  0.7153  0.0357  1 Ge 2.01, 1 Mn 2.17
F  0.6764  0.2847  0.9643  1 Ge 2.01, 1 Mn 2.17
Mn  0.4712  0.5288  0.7500  4 F 2.05-2.17
Mn  0.5288  0.4712  0.2500  4 F 2.05-2.17
Ge  0.0000  0.0000  0.0000  6 F 1.97-2.03
Ge  0.0000  0.0000  0.5000  6 F 1.97-2.03

Calculated values
- calculated total energy (eV/atom) = -5.383
- DOS at the Fermi energy (states/eV per cell) = 2.09
- size of the total moment (μB per cell) = 9.69

***

The following is a DFT calculation (GGA+U) of a relaxed structure of Mn2GeF8.

Cell lengths 5.1572, 5.4707, 5.4707 Å; angles 72.09, 81.32, 81.32 degrees
Closest atoms and distances in Å follow each position.
Atoms (fractional coordinates):
Mn  0.4446  0.3154  0.3154  4 F 1.86-2.05
Mn  0.5554  0.6846  0.6846  4 F 1.86-2.05
F  0.3237  0.6635  0.0648  2 Mn 2.05-2.22, 1 Ge 2.27
F  0.2745  0.5805  0.5805  1 Mn 1.86
F  0.8151  0.8076  0.8076  1 Mn 1.88, 1 Ge 2.10
F  0.1849  0.1924  0.1924  1 Mn 1.88, 1 Ge 2.10
F  0.6763  0.3365  0.9352  2 Mn 2.05-2.22, 1 Ge 2.27
F  0.3237  0.0648  0.6635  2 Mn 2.05-2.22, 1 Ge 2.27
F  0.6763  0.9352  0.3365  2 Mn 2.05-2.22, 1 Ge 2.27
F  0.7255  0.4195  0.4195  1 Mn 1.86
Ge  0.0000  0.0000  0.0000  6 F 2.10-2.27

Calculated values
- calculated total energy (eV/atom) = -5.398
- size of the total moment (μB per cell) = 7.97

***

The following is a DFT calculation (GGA+U) of a relaxed structure of MnGe3F.

Cell lengths 4.4669, 4.4669, 4.4669 Å; angles 90.00, 90.00, 90.00 degrees
Closest atoms and distances in Å follow each position.
Atoms (fractional coordinates):
Mn  0.0000  0.0000  0.0000  6 Ge 2.23
Ge  0.0000  0.5000  0.0000  2 Mn 2.23
Ge  0.0000  0.0000  0.5000  2 Mn 2.23
Ge  0.5000  0.0000  0.0000  2 Mn 2.23
F  0.5000  0.5000  0.5000  12 Ge 3.16

Calculated values
- calculated total energy (eV/atom) = -4.492
- DOS at the Fermi energy (states/eV per cell) = 0.00
- size of the total moment (μB per cell) = 0.00

***

The following is a DFT calculation (GGA+U) of a relaxed structure of MnGe2F8.

Cell lengths 4.7560, 6.4105, 6.4105 Å; angles 120.00, 90.00, 90.00 degrees
Closest atoms and distances in Å follow each position.
Atoms (fractional coordinates):
Ge  0.2752  0.3333  0.6667  4 F 1.80-1.91
Ge  0.7248  0.6667  0.3333  4 F 1.80-1.91
F  0.7629  0.8382  0.1617  1 Ge 1.91, 1 Mn 2.12
F  0.2371  0.1617  0.3235  1 Ge 1.91, 1 Mn 2.12
F  0.7629  0.8383  0.6765  1 Ge 1.91, 1 Mn 2.12
F  0.2371  0.1618  0.8383  1 Ge 1.91, 1 Mn 2.12
F  0.7629  0.3235  0.1617  1 Ge 1.91, 1 Mn 2.12
F  0.6530  0.3333  0.6667  1 Ge 1.80
F  0.3470  0.6667  0.3333  1 Ge 1.80
F  0.2371  0.6765  0.8382  1 Ge 1.91, 1 Mn 2.12
Mn  0.0000  0.0000  0.0000  6 F 2.12

Calculated values
- calculated total energy (eV/atom) = -5.057
- DOS at the Fermi energy (states/eV per cell) = 2.74
- size of the total moment (μB per cell) = 3.66

***

The following is a DFT calculation (GGA+U) of a relaxed structure of Mn2GeF.

Cell lengths 6.4598, 6.4598, 5.6792 Å; angles 55.34, 55.34, 90.00 degrees
Closest atoms and distances in Å follow each position.
Atoms (fractional coordinates):
Mn  0.5724  0.1250  0.2500  2 F 2.22
Mn  0.1776  0.6250  0.2500  2 F 2.22
Mn  0.8750  0.8224  0.7500  2 F 2.22
Mn  0.3750  0.4276  0.7500  2 F 2.22
F  0.5000  0.5000  0.0000  4 Mn 2.22
F  0.2500  0.7500  0.5000  4 Mn 2.22
Ge  0.0000  0.0000  0.0000  4 Mn 2.67
Ge  0.7500  0.2500  0.5000  4 Mn 2.67

Calculated values
- calculated total energy (eV/atom) = -5.897
- DOS at the Fermi energy (states/eV per cell) = 0.94
- size of the total moment (μB per cell) = 18.00

***

The following is a DFT calculation (GGA+U) of a relaxed structure of MnGe2F8.

Cell lengths 5.0991, 5.8856, 5.8856 Å; angles 70.87, 104.13, 104.13 degrees
Closest atoms and distances in Å follow each position.
Atoms (fractional coordinates):
F  0.2389  0.8532  0.8532  1 Ge 1.87
F  0.2423  0.9182  0.3529  1 Ge 1.94, 1 Mn 2.11
F  0.2423  0.3529  0.9182  1 Ge 1.94, 1 Mn 2.11
F  0.7577  0.0818  0.6471  1 Ge 1.94, 1 Mn 2.11
F  0.7611  0.1468  0.1468  1 Ge 1.87
F  0.8584  0.5887  0.5887  1 Ge 1.87
F  0.1416  0.4113  0.4113  1 Ge 1.87
F  0.7577  0.6471  0.0818  1 Ge 1.94, 1 Mn 2.11
Ge  0.2417  0.6589  0.6589  4 F 1.87-1.94
Ge  0.7583  0.3411  0.3411  4 F 1.87-1.94
Mn  0.0000  0.0000  0.0000  6 F 2.11-2.12

Calculated values
- calculated total energy (eV/atom) = -5.089
- DOS at the Fermi energy (states/eV per cell) = 3.48
- size of the total moment (μB per cell) = 3.49

***

Repeat the first record exactly.
The following is a DFT calculation (GGA+U) of a relaxed structure of MnGeF5.

Cell lengths 5.6094, 5.6093, 7.7598 Å; angles 110.62, 110.62, 74.26 degrees
Closest atoms and distances in Å follow each position.
Atoms (fractional coordinates):
F  0.8020  0.6816  0.0702  1 Ge 1.88
F  0.2571  0.7245  0.3632  1 Ge 1.94, 1 Mn 2.08
F  0.8184  0.6981  0.4298  1 Ge 1.88
F  0.3982  0.1018  0.2500  2 Mn 2.06
F  0.7429  0.2755  0.6368  1 Ge 1.94, 1 Mn 2.08
F  0.1980  0.3184  0.9298  1 Ge 1.88
F  0.6018  0.8982  0.7500  2 Mn 2.06
F  0.2246  0.7570  0.8632  1 Ge 1.94, 1 Mn 2.08
F  0.1816  0.3019  0.5702  1 Ge 1.88
F  0.7754  0.2430  0.1368  1 Ge 1.94, 1 Mn 2.08
Ge  0.9984  0.5016  0.7500  4 F 1.88-1.94
Ge  0.0016  0.4984  0.2500  4 F 1.88-1.94
Mn  0.5000  0.0000  0.0000  6 F 2.06-2.18
Mn  0.5000  0.0000  0.5000  6 F 2.06-2.18

Calculated values
- calculated total energy (eV/atom) = -5.383
- DOS at the Fermi energy (states/eV per cell) = 3.17
- size of the total moment (μB per cell) = 8.19

***

Question: calculated total energy of number 2 (Mn2GeF8)?
Answer: -5.679 eV/atom

***

Question: What is the formula in the fifth record?
Answer: MnGe3F